Material: Ce2HoTh2
Method: DFT, GGA-PBE
State: optimized geometry

Fermi-level density of states ... 2.067 states/eV per atom
Formation enthalpy at 0 K ... 0.03 eV/atom
Space-group type ... R-3m, No. 166
Total moment ... 0.0 μB/cell
Calculated volume ... 30.02 A^3/atom

Unit cell a=14.3089 b=14.3089 c=14.3089 alpha=14.04 beta=14.04 gamma=14.04
Last column: nearest neighbours and their distance in Å.
Element x y z (fractional)
Ce  0.1989  0.1989  0.1989  9 Ce 3.40-3.50, 3 Th 3.45
Ce  0.8011  0.8011  0.8011  9 Ce 3.40-3.50, 3 Th 3.45
Ho  0.0000  0.0000  0.0000  6 Ho 3.50, 6 Th 3.55
Th  0.4020  0.4020  0.4020  3 Ce 3.45, 6 Th 3.50, 3 Ho 3.55
Th  0.5980  0.5980  0.5980  3 Ce 3.45, 6 Th 3.50, 3 Ho 3.55